(1)
A plane-wave DFT calculation with PBE was carried out for an optimized crystal structure of RbMgSiO2.

Structure (POSCAR):
```
RbMgSiO2
1.0
4.3434 0.0000 0.0000
0.0000 6.0400 0.0000
0.0000 0.0000 4.3434
O Si Mg Rb
2 1 1 1
direct
0.0000 0.0000 0.5000 O
0.5000 0.0000 0.0000 O
0.0000 0.5000 0.0000 Si
0.5000 0.5000 0.5000 Mg
0.0000 0.0000 0.0000 Rb
```

- Raw formation energy: 5.2 eV per formula unit

(2)
A plane-wave DFT calculation with PBE was carried out for an optimized crystal structure of Rb2SnPbBr6.

Structure (POSCAR):
```
Rb2SnPbBr6
1.0
-2.9720 4.2329 -6.1022
-7.8156 -1.5233 2.7499
0.4100 9.5718 6.4676
Rb Sn Pb Br
4 2 2 12
direct
0.0256 0.9262 0.2495 Rb
0.5256 0.5738 0.7495 Rb
0.9744 0.0738 0.7505 Rb
0.4744 0.4262 0.2505 Rb
0.5000 0.0000 0.5000 Sn
0.0000 0.5000 0.0000 Sn
0.5000 0.0000 0.0000 Pb
0.0000 0.5000 0.5000 Pb
0.3015 0.6985 0.0511 Br
0.8015 0.8015 0.5511 Br
0.6985 0.3015 0.9489 Br
0.1985 0.1985 0.4489 Br
0.3066 0.7033 0.4483 Br
0.8066 0.7967 0.9483 Br
0.6934 0.2967 0.5517 Br
0.1934 0.2033 0.0517 Br
0.8986 0.5273 0.2473 Br
0.3986 0.9727 0.7473 Br
0.1014 0.4727 0.7527 Br
0.6014 0.0273 0.2527 Br
```

- Raw formation energy: -12.3 eV per formula unit

(3)
A plane-wave DFT calculation with PBE was carried out for an optimized crystal structure of SbC5.

Structure (POSCAR):
```
SbC5
1.0
3.7721 -4.2596 0.0000
3.7721 4.2596 0.0000
0.0000 0.0000 2.5670
Sb C
1 5
direct
0.0000 0.0000 0.0000 Sb
0.6626 0.3374 0.5000 C
0.7432 0.2568 0.0000 C
0.5000 0.5000 0.5000 C
0.2568 0.7432 0.0000 C
0.3374 0.6626 0.5000 C
```

- Raw formation energy: 6.7 eV per formula unit

(4)
A plane-wave DFT calculation with PBE was carried out for an optimized crystal structure of LiPm2PaP4.

Structure (POSCAR):
```
LiPm2PaP4
1.0
4.1046 0.0000 0.0000
0.0000 6.8930 0.1402
0.0000 -2.3916 6.5810
Li Pm Pa P
1 2 1 4
direct
0.5000 0.5000 0.0000 Li
0.5000 0.0000 0.5000 Pm
0.0000 0.5000 0.5000 Pm
0.0000 0.0000 0.0000 Pa
0.5000 0.2427 0.2350 P
0.5000 0.7573 0.7650 P
0.0000 0.2393 0.7610 P
0.0000 0.7607 0.2390 P
```

- Energy of formation from the pure elements: -1141 meV per atom

(5)
A plane-wave DFT calculation with PBE was carried out for an optimized crystal structure of PrNd3Si2.

Structure (POSCAR):
```
PrNd3Si2
1.0
3.8076 0.0000 0.7674
1.5044 8.4279 2.3653
-0.2008 0.4768 10.8265
Pr Nd Si
2 6 4
direct
0.8513 0.5636 0.7338 Pr
0.1487 0.4364 0.2662 Pr
0.1505 0.9344 0.7646 Nd
0.8495 0.0656 0.2354 Nd
0.4237 0.2235 0.9290 Nd
0.5763 0.7765 0.0710 Nd
0.5766 0.2736 0.5731 Nd
0.4234 0.7264 0.4269 Nd
0.2316 0.5837 0.9531 Si
0.7684 0.4163 0.0469 Si
0.7684 0.9164 0.5467 Si
0.2316 0.0836 0.4533 Si
```

- Raw formation energy: -2.7 eV per formula unit

(6)
A plane-wave DFT calculation with PBE was carried out for an optimized crystal structure of Mg2OsCl.

Structure (POSCAR):
```
Mg2OsCl
1.0
-1.5367 2.0392 -1.1924
-6.0659 -3.1025 2.5115
-3.1336 0.2170 4.4094
Cl Mg Os
1 2 1
direct
0.0000 0.0000 0.5000 Cl
0.0000 0.0000 0.0000 Mg
0.5000 0.5000 0.0000 Mg
0.5000 0.5000 0.5000 Os
```

- Raw formation energy: 0.3 eV per formula unit

(7)
A plane-wave DFT calculation with PBE was carried out for an optimized crystal structure of ErTmZr2.

Structure (POSCAR):
```
ErTmZr2
1.0
-2.7842 0.9748 -3.7347
-1.1162 -4.5326 -0.3509
-3.6287 0.6706 2.8803
Tm Zr Er
1 2 1
direct
0.5000 0.5000 0.5000 Tm
0.0000 0.0000 0.5000 Zr
0.0000 0.5000 0.0000 Zr
0.5000 0.0000 0.0000 Er
```

- Energy of formation from the pure elements: 98 meV per atom

(8)
A plane-wave DFT calculation with PBE was carried out for an optimized crystal structure of Na3Ca2PaS6.

Structure (POSCAR):
```
Na3Ca2PaS6
1.0
7.0104 -0.0014 -0.0038
-3.5047 6.0714 -0.0038
-1.1731 -2.0312 6.6323
Na Ca Pa S
3 2 1 6
direct
0.1691 0.8309 0.5000 Na
0.8309 0.1691 0.5000 Na
0.5000 0.5000 0.5000 Na
0.3333 0.6667 0.0000 Ca
0.6667 0.3333 0.0000 Ca
0.0000 0.0000 0.0000 Pa
0.9239 0.6092 0.7715 S
0.7615 0.7615 0.2251 S
0.0761 0.3908 0.2285 S
0.6092 0.9239 0.7715 S
0.2385 0.2385 0.7749 S
0.3908 0.0761 0.2285 S
```

- Raw formation energy: -20.5 eV per formula unit

(9)
A plane-wave DFT calculation with PBE was carried out for an optimized crystal structure of Pr8Ni3GeBr4.

Structure (POSCAR):
```
Pr8Ni3GeBr4
1.0
-5.6199 5.5445 -2.7284
-6.5655 -4.5654 4.2460
6.5063 2.5564 4.5792
Pr Ni Ge Br
8 3 1 4
direct
0.2405 0.7048 0.9646 Pr
0.2404 0.7047 0.4807 Pr
0.2685 0.3060 0.5371 Pr
0.7241 0.7048 0.9646 Pr
0.2759 0.2952 0.0354 Pr
0.7315 0.6940 0.4629 Pr
0.7596 0.2953 0.5193 Pr
0.7595 0.2952 0.0354 Pr
0.5000 0.5000 0.0000 Ni
0.5000 0.5000 0.5000 Ni
0.0000 0.5000 0.5000 Ni
0.0000 0.5000 0.0000 Ge
0.5000 0.0000 0.0000 Br
0.5000 0.0000 0.5000 Br
0.0000 0.0000 0.0000 Br
0.0000 0.0000 0.5000 Br
```

- Raw formation energy: -13.5 eV per formula unit

(10)
A plane-wave DFT calculation with PBE was carried out for an optimized crystal structure of Fe2OsRh.

Structure (POSCAR):
```
Fe2OsRh
1.0
-1.0873 2.3125 0.9622
-1.3616 0.3346 -2.3430
-5.3632 -3.6044 2.6020
Fe Os Rh
2 1 1
direct
0.0000 0.0000 0.0173 Fe
0.5000 0.5000 0.2427 Fe
0.0000 0.0000 0.4815 Os
0.5000 0.5000 0.7585 Rh
```

- Energy of formation from the pure elements: 85 meV per atom

(11)
A plane-wave DFT calculation with PBE was carried out for an optimized crystal structure of PmSnPb2.

Structure (POSCAR):
```
PmSnPb2
1.0
5.5743 0.0000 0.0000
2.7872 4.8275 0.0000
2.7872 1.6092 4.5461
Pb Sn Pm
2 1 1
direct
0.7502 0.7502 0.7493 Pb
0.2498 0.2498 0.2507 Pb
0.0000 0.0000 0.0000 Sn
0.5000 0.5000 0.5000 Pm
```

- Energy of formation from the pure elements: -126 meV per atom

(12)
A plane-wave DFT calculation with PBE was carried out for an optimized crystal structure of CaHoPd6.

Structure (POSCAR):
```
CaHoPd6
1.0
5.2676 0.0000 0.0000
0.0000 5.2676 0.0000
0.0000 0.0000 5.2676
Ca Ho Pd
1 1 6
direct
0.5000 0.5000 0.5000 Ca
0.0000 0.0000 0.0000 Ho
0.5000 0.7505 0.0000 Pd
0.7505 0.0000 0.5000 Pd
0.0000 0.5000 0.2495 Pd
0.2495 0.0000 0.5000 Pd
0.5000 0.2495 0.0000 Pd
0.0000 0.5000 0.7505 Pd
```

- Energy of formation from the pure elements: -490 meV per atom

(13)
A plane-wave DFT calculation with PBE was carried out for an optimized crystal structure of CdW2Cl.

Structure (POSCAR):
```
CdW2Cl
1.0
2.9199 0.0000 0.0000
0.0000 4.8493 0.0000
0.0000 0.0000 5.0625
Cl W Cd
1 2 1
direct
0.0000 0.5000 0.5000 Cl
0.0000 0.0000 0.0000 W
0.5000 0.5000 0.0000 W
0.5000 0.0000 0.5000 Cd
```

- Raw formation energy: 3.8 eV per formula unit

(14)
A plane-wave DFT calculation with PBE was carried out for an optimized crystal structure of Pr5YIn2.

Structure (POSCAR):
```
Pr5YIn2
1.0
-2.9999 -1.1864 3.7911
-2.1280 -5.7836 -3.4938
10.4843 -7.4590 5.9620
Pr Y In
10 2 4
direct
0.0000 0.0000 0.0000 Pr
0.0000 0.5000 0.5000 Pr
0.0000 0.4910 0.7517 Pr
0.0000 0.5090 0.2483 Pr
0.0000 0.0090 0.2517 Pr
0.0000 0.9910 0.7483 Pr
0.5000 0.2452 0.8753 Pr
0.5000 0.7548 0.1247 Pr
0.5000 0.2548 0.3753 Pr
0.5000 0.7452 0.6247 Pr
0.0000 0.0000 0.5000 Y
0.0000 0.5000 0.0000 Y
0.5000 0.2409 0.6222 In
0.5000 0.7591 0.3778 In
0.5000 0.2591 0.1222 In
0.5000 0.7409 0.8778 In
```

- Energy of formation from the pure elements: -276 meV per atom

(15)
A plane-wave DFT calculation with PBE was carried out for an optimized crystal structure of InTcPb2.

Structure (POSCAR):
```
InTcPb2
1.0
5.7309 0.0748 0.0000
2.0797 5.3407 0.0000
-3.9053 -2.7078 3.2039
In Pb Tc
1 2 1
direct
0.7500 0.2500 0.5000 In
0.0000 0.0000 0.0000 Pb
0.2500 0.7500 0.5000 Pb
0.5000 0.5000 0.0000 Tc
```

- Energy of formation from the pure elements: 660 meV per atom

(16)
A plane-wave DFT calculation with PBE was carried out for an optimized crystal structure of TbLu2Be.

Structure (POSCAR):
```
TbLu2Be
1.0
3.3832 0.0000 0.0000
1.6916 2.9300 0.0000
1.6916 0.9767 11.2118
Be Lu Tb
1 2 1
direct
0.0000 0.0000 0.0000 Be
0.0839 0.0839 0.7482 Lu
0.9161 0.9161 0.2518 Lu
0.5000 0.5000 0.5000 Tb
```

- Energy of formation from the pure elements: 684 meV per atom

(17)
A plane-wave DFT calculation with PBE was carried out for an optimized crystal structure of La2YPd.

Structure (POSCAR):
```
La2YPd
1.0
3.7507 0.0000 0.0000
1.8753 3.2482 0.0000
1.8753 1.0827 10.7901
Y Pd La
1 1 2
direct
0.0000 0.0000 0.0000 Y
0.5000 0.5000 0.5000 Pd
0.1053 0.1053 0.6842 La
0.8947 0.8947 0.3158 La
```

- Energy of formation from the pure elements: -83 meV per atom

(18)
A plane-wave DFT calculation with PBE was carried out for an optimized crystal structure of LiIr2Ru.

Structure (POSCAR):
```
LiIr2Ru
1.0
-7.9250 3.9616 -1.5060
-8.4172 1.5754 -2.7271
-8.7976 1.8356 -0.0410
Ir Li Ru
2 1 1
direct
0.9985 0.9985 0.9985 Ir
0.5015 0.5015 0.5015 Ir
0.7500 0.7500 0.7500 Li
0.2500 0.2500 0.2500 Ru
```

- Energy of formation from the pure elements: 27 meV per atom

(19)
A plane-wave DFT calculation with PBE was carried out for an optimized crystal structure of NiB7Rh12.

Structure (POSCAR):
```
NiB7Rh12
1.0
-2.1447 5.7663 -0.2110
-4.9364 -3.9206 2.8975
-1.3063 1.9436 6.5307
Ni B Rh
1 7 12
direct
0.0000 0.0000 0.0000 Ni
0.9766 0.2456 0.0894 B
0.9340 0.9106 0.3350 B
0.2690 0.3350 0.7544 B
0.5000 0.0000 0.0000 B
0.7310 0.6650 0.2456 B
0.0660 0.0894 0.6650 B
0.0234 0.7544 0.9106 B
0.7361 0.4070 0.1533 Rh
0.1106 0.8467 0.5602 Rh
0.3404 0.2119 0.0866 Rh
0.5730 0.9134 0.2985 Rh
0.6709 0.5602 0.5930 Rh
0.8716 0.2985 0.7881 Rh
0.1284 0.7015 0.2119 Rh
0.3291 0.4398 0.4070 Rh
0.4270 0.0866 0.7015 Rh
0.6596 0.7881 0.9134 Rh
0.8894 0.1533 0.4398 Rh
0.2639 0.5930 0.8467 Rh
```

- Energy of formation from the pure elements: -134 meV per atom

(20)
A plane-wave DFT calculation with PBE was carried out for an optimized crystal structure of KSn2Hg4.

Structure (POSCAR):
```
KSn2Hg4
1.0
-0.7785 -4.9189 1.5406
3.1211 0.9989 -4.0544
8.1968 0.7163 6.4300
K Sn Hg
1 2 4
direct
0.0000 0.0000 0.5000 K
0.6666 0.3333 0.9998 Sn
0.3334 0.6667 0.0002 Sn
0.6675 0.3351 0.2929 Hg
0.3325 0.6649 0.7071 Hg
0.6657 0.3315 0.7067 Hg
0.3343 0.6685 0.2933 Hg
```

- Energy of formation from the pure elements: -43 meV per atom

(21)
A plane-wave DFT calculation with PBE was carried out for an optimized crystal structure of FeCo2Rh5.

Structure (POSCAR):
```
FeCo2Rh5
1.0
4.2171 0.0000 -1.1888
-0.3351 4.2038 -1.1888
-0.4679 -0.5067 6.4146
Fe Co Rh
1 2 5
direct
0.5000 0.5000 0.0000 Fe
0.2433 0.2433 0.4866 Co
0.7567 0.7567 0.5134 Co
0.1310 0.6310 0.2619 Rh
0.6310 0.1310 0.2619 Rh
0.3690 0.8690 0.7381 Rh
0.8690 0.3690 0.7381 Rh
0.0000 0.0000 0.0000 Rh
```

- Energy of formation from the pure elements: 169 meV per atom

(22)
A plane-wave DFT calculation with PBE was carried out for an optimized crystal structure of K2Pa3S9.

Structure (POSCAR):
```
K2Pa3S9
1.0
-5.5064 9.0534 -8.8031
-1.4280 -3.0780 8.5342
10.3422 2.2970 6.7019
K Pa S
4 6 18
direct
0.2803 0.2913 0.7505 K
0.7197 0.7087 0.2495 K
0.9050 0.5420 0.7489 K
0.0950 0.4580 0.2511 K
0.5000 0.0000 0.0000 Pa
0.5000 0.5000 0.5000 Pa
0.8285 0.1637 0.4930 Pa
0.1715 0.8363 0.5070 Pa
0.1626 0.3307 0.9966 Pa
0.8374 0.6693 0.0034 Pa
0.2821 0.9201 0.7533 S
0.7179 0.0799 0.2467 S
0.6322 0.5847 0.7516 S
0.3678 0.4153 0.2484 S
0.4249 0.6510 0.9597 S
0.5751 0.3490 0.0403 S
0.1450 0.5109 0.5387 S
0.8550 0.4891 0.4613 S
0.9562 0.2433 0.7447 S
0.0438 0.7567 0.2553 S
0.0946 0.9881 0.9589 S
0.9054 0.0119 0.0411 S
0.4806 0.1831 0.5388 S
0.5194 0.8169 0.4612 S
0.8158 0.8478 0.5398 S
0.1842 0.1522 0.4602 S
0.7643 0.3241 0.9631 S
0.2357 0.6759 0.0369 S
```

- Raw formation energy: -19.9 eV per formula unit

(23)
A plane-wave DFT calculation with PBE was carried out for an optimized crystal structure of CeTl2Cd3F12.

Structure (POSCAR):
```
CeTl2Cd3F12
1.0
-0.6436 -4.3345 7.3029
-1.4354 -8.3769 0.5484
5.6809 -5.7159 2.7549
Ce Tl Cd F
1 2 3 12
direct
0.0000 0.0000 0.0000 Ce
0.5797 0.5797 0.5797 Tl
0.4203 0.4203 0.4203 Tl
0.5000 0.0000 0.0000 Cd
0.0000 0.5000 0.0000 Cd
0.0000 0.0000 0.5000 Cd
0.3380 0.3380 0.9013 F
0.9342 0.9342 0.3136 F
0.3136 0.9342 0.9342 F
0.9013 0.3380 0.3380 F
0.9342 0.3136 0.9342 F
0.3380 0.9013 0.3380 F
0.6620 0.6620 0.0987 F
0.0658 0.0658 0.6864 F
0.6864 0.0658 0.0658 F
0.0987 0.6620 0.6620 F
0.0658 0.6864 0.0658 F
0.6620 0.0987 0.6620 F
```

- Raw formation energy: -45.0 eV per formula unit

So what do the calculations give for electronic total energy? Going down the list: -2.54; -3.20; -7.26; -6.46; -5.45; -3.98; -6.44; -5.23; -5.02; -8.79; -4.17; -5.21; -6.21; -4.76; -4.47; -3.67; -5.46; -7.20; -7.17; -1.52; -7.26; -6.26; -4.49 eV per atom.